(1)
Entry from the Alexandria database: Fe2HgP after structural relaxation (PBE).

As for the space group: F-43m, No. 216. The calculation puts the volume at 59.69 Å³/cell. As for the density of states at the Fermi level: 0.817 states/eV per atom. Its magnetization is 4.55 μB/cell. The value obtained for the calculated total energy is -20.06 eV for the cell shown. The calculation puts the energy of formation at 645.2 meV/atom.

POSCAR file:
```
Fe2HgP
1.0
4.387 0.000 0.000
2.193 3.799 0.000
2.193 1.266 3.582
Fe Hg P
2 1 1
Direct
0.000 0.000 0.000 Fe
0.250 0.250 0.250 Fe
0.500 0.500 0.500 Hg
0.750 0.750 0.750 P
```

---

(2)
Entry from the Alexandria database: Ce2Ga3Rh5 after structural relaxation (PBE).

As for the space group: Cmc2_1, No. 36. The calculation puts the volume at 347.90 Å³/cell. As for the density of states at the Fermi level: 0.650 states/eV per atom. Its magnetization is 0.00 μB/cell. The value obtained for the calculated total energy is -129.37 eV for the cell shown. The calculation puts the energy of formation at -697.7 meV/atom.

POSCAR file:
```
Ce2Ga3Rh5
1.0
4.173 0.000 -0.711
0.000 6.368 0.000
0.081 0.000 13.077
Ce Ga Rh
4 6 10
Direct
0.486 0.713 0.973 Ce
0.174 0.768 0.348 Ce
0.826 0.268 0.652 Ce
0.514 0.213 0.027 Ce
0.773 0.766 0.547 Ga
0.609 0.491 0.218 Ga
0.058 0.914 0.117 Ga
0.227 0.266 0.453 Ga
0.942 0.414 0.883 Ga
0.391 0.991 0.782 Ga
0.393 0.441 0.787 Rh
0.293 0.551 0.586 Rh
0.707 0.051 0.414 Rh
0.132 0.245 0.264 Rh
0.293 0.978 0.587 Rh
0.958 0.998 0.915 Rh
0.707 0.478 0.413 Rh
0.868 0.745 0.736 Rh
0.042 0.498 0.085 Rh
0.607 0.941 0.213 Rh
```